Entry from Alexandria via LeMat-Bulk: a geometry-optimized As2Pd structure (PBE).

abc: 6.079 6.079 6.079
angles: 90.00 90.00 90.00
Fractional positions:
As (0.383, 0.117, 0.883)
As (0.117, 0.883, 0.383)
As (0.883, 0.383, 0.117)
As (0.617, 0.617, 0.617)
As (0.383, 0.383, 0.383)
As (0.117, 0.617, 0.883)
As (0.883, 0.117, 0.617)
As (0.617, 0.883, 0.117)
Pd (0.000, 0.500, 0.500)
Pd (0.500, 0.500, 0.000)
Pd (0.500, 0.000, 0.500)
Pd (0.000, 0.000, 0.000)

## Properties
* V: 224.65 Å³ per cell
* calculated total energy: -5.16 eV per atom
* space-group type: No. 205
* crystal system: cubic
* total magnetization: 0.00 μB/cell
* energy of formation from the pure elements: -31.5 kJ/mol of atoms